# 1
DFT (PBE) results for a geometry-optimized Ta3SBr structure.

Results
The value obtained for the excess energy over the best structure of this formula in the dataset is 0.000 eV/atom. For the total energy, the calculation gives -37.47 eV for the cell shown.

a = 4.628 Å, b = 4.628 Å, c = 4.628 Å
α = 90.00°, β = 90.00°, γ = 90.00°
Sites, in units of the cell vectors:
1 S 0.000 0.000 0.000
2 Br 0.500 0.500 0.500
3 Ta 0.000 0.500 0.000
4 Ta 0.000 0.000 0.500
5 Ta 0.500 0.000 0.000

# 2
DFT (PBE) results for a geometry-optimized PuNpTl2S4 structure.

Results
For the total energy, the calculation gives -57.62 eV for the cell shown.

a = 4.071 Å, b = 7.054 Å, c = 7.831 Å
α = 107.45°, β = 90.00°, γ = 90.00°
Site moments in Bohr magnetons follow the coordinates.
Sites, in units of the cell vectors:
1 Pu 0.000 0.000 0.000  5.14
2 Np 0.500 0.500 0.000  3.75
3 Tl 0.500 0.000 0.500  0.01
4 Tl 0.000 0.500 0.500  0.01
5 S 0.500 0.235 0.193  -0.10
6 S 0.500 0.765 0.807  -0.10
7 S 0.000 0.273 0.807  -0.09
8 S 0.000 0.727 0.193  -0.09